## Ho5Er5In2 (GGA-PBE)

Data for a relaxed Ho5Er5In2 crystal.

Values from the calculation:
As for the formation enthalpy at 0 K: -0.038 eV/atom. The total moment comes out at 0.000 μB per atom. The density is 8643 kg/m³.

Cell lengths 6.116, 6.116, 12.838 Å; angles 91.16, 91.16, 49.17 degrees
Fractional coordinates of all 12 atoms:
Ho: 0.000 0.000 0.000
Ho: 0.333 0.333 0.461
Ho: 0.406 0.406 0.179
Ho: 0.594 0.594 0.821
Ho: 0.667 0.667 0.539
Er: 0.000 0.000 0.500
Er: 0.113 0.113 0.262
Er: 0.300 0.300 0.920
Er: 0.700 0.700 0.080
Er: 0.887 0.887 0.738
In: 0.198 0.198 0.688
In: 0.802 0.802 0.312